Computed, not measured: a relaxed structure of Re2PtS at the PBE level of DFT.

uncorrected formation energy = 800 meV/atom

extended XYZ file:
```
8
Lattice="-3.049 -3.194 3.072 4.336 -2.919 1.270 1.582 0.228 6.518" Properties=species:S:1:pos:R:3 pbc="T T T"
Re -0.861 -2.192 3.600
Re 2.618 -2.278 2.914
Re 1.821 -2.223 6.561
Re 2.161 -5.075 8.642
S 0.643 -3.056 2.171
S 3.281 -2.873 4.979
Pt 0.000 0.000 0.000
Pt -0.412 -3.011 5.880
```

Computed, not measured: a relaxed structure of CsBiBr at the PBE level of DFT.

uncorrected formation energy = -588 meV/atom

extended XYZ file:
```
3
Lattice="5.932 0.000 0.000 0.000 3.780 0.000 -1.372 0.000 5.924" Properties=species:S:1:pos:R:3 pbc="T T T"
Cs -0.073 1.890 0.423
Bi 2.757 0.000 3.099
Br -0.191 0.000 3.490
```

Computed, not measured: a relaxed structure of Co3MoPt at the PBE level of DFT.

VASP energy = -30.15 eV per cell

extended XYZ file:
```
5
Lattice="-0.493 4.496 -0.383 -0.614 0.315 4.486 4.470 0.539 0.574" Properties=species:S:1:pos:R:3 pbc="T T T"
Mo 1.682 2.675 2.338
Co -0.307 0.157 2.243
Co 2.235 0.270 0.287
Co -0.247 2.248 -0.192
Pt 0.000 0.000 0.000
```

Computed, not measured: a relaxed structure of PrPuPd2 at the PBE level of DFT.

VASP energy = -31.81 eV per cell

extended XYZ file:
```
4
Lattice="-0.793 -3.846 0.047 1.452 -0.248 4.212 -4.699 3.001 1.797" Properties=species:S:1:pos:R:3 pbc="T T T"
Pr -1.614 -0.552 2.888
Pu -5.166 0.167 1.791
Pd -3.536 1.858 3.693
Pd -3.321 -2.228 1.014
```